(1)
BaZn2AgAu: optimized geometry, PBE.

energy above the most stable polymorph in this dataset = 0 meV/atom
theoretical density = 8.0 g/cm³
energy = -12.23 eV/cell
space-group type = No. 44
calculated formation energy = -326 meV/atom

The structure in CIF format:
```
data_BaZn2AgAu
_cell_length_a 6.509
_cell_length_b 6.509
_cell_length_c 6.509
_cell_angle_alpha 138.99
_cell_angle_beta 138.35
_cell_angle_gamma 59.88
_space_group_name_H-M_alt 'P 1'
_space_group_IT_number 1
loop_
_space_group_symop_operation_xyz
'x,y,z'
loop_
_atom_site_label
_atom_site_type_symbol
_atom_site_fract_x
_atom_site_fract_y
_atom_site_fract_z
Ba1 Ba 0.000 0.000 0.000
Zn1 Zn 0.374 0.374 0.000
Zn2 Zn 0.748 0.248 0.500
Ag1 Ag 0.254 0.754 0.500
Au1 Au 0.608 0.608 0.000
```

=====

(2)
BaBeW2: optimized geometry, PBE.

theoretical density = 9.4 g/cm³
energy = -25.88 eV/cell
space-group type = No. 44
calculated formation energy = 1418 meV/atom

The structure in CIF format:
```
data_BaBeW2
_cell_length_a 5.960
_cell_length_b 5.960
_cell_length_c 5.960
_cell_angle_alpha 149.51
_cell_angle_beta 121.00
_cell_angle_gamma 67.87
_space_group_name_H-M_alt 'P 1'
_space_group_IT_number 1
loop_
_space_group_symop_operation_xyz
'x,y,z'
loop_
_atom_site_label
_atom_site_type_symbol
_atom_site_fract_x
_atom_site_fract_y
_atom_site_fract_z
Ba1 Ba 0.000 0.000 0.000
Be1 Be 0.299 0.799 0.500
W1 W 0.500 0.500 0.000
W2 W 0.692 0.192 0.500
```

=====

(3)
La2Cu: optimized geometry, PBE.

theoretical density = 6.3 g/cm³
energy = -23.88 eV/cell
space-group type = No. 227
calculated formation energy = 671 meV/atom

The structure in CIF format:
```
data_La2Cu
_cell_length_a 6.346
_cell_length_b 6.346
_cell_length_c 6.346
_cell_angle_alpha 60.00
_cell_angle_beta 60.00
_cell_angle_gamma 60.00
_space_group_name_H-M_alt 'P 1'
_space_group_IT_number 1
loop_
_space_group_symop_operation_xyz
'x,y,z'
loop_
_atom_site_label
_atom_site_type_symbol
_atom_site_fract_x
_atom_site_fract_y
_atom_site_fract_z
La1 La 0.000 0.000 0.000
La2 La 0.000 0.000 0.500
La3 La 0.000 0.500 0.000
La4 La 0.500 0.000 0.000
Cu1 Cu 0.375 0.375 0.375
Cu2 Cu 0.625 0.625 0.625
```

=====

(4)
NpFeTc2: optimized geometry, PBE.

energy above the most stable polymorph in this dataset = 128 meV/atom
theoretical density = 12.7 g/cm³
energy = -41.20 eV/cell
space-group type = No. 225
calculated formation energy = 234 meV/atom

The structure in CIF format:
```
data_NpFeTc2
_cell_length_a 4.488
_cell_length_b 4.488
_cell_length_c 4.488
_cell_angle_alpha 60.00
_cell_angle_beta 60.00
_cell_angle_gamma 60.00
_space_group_name_H-M_alt 'P 1'
_space_group_IT_number 1
loop_
_space_group_symop_operation_xyz
'x,y,z'
loop_
_atom_site_label
_atom_site_type_symbol
_atom_site_fract_x
_atom_site_fract_y
_atom_site_fract_z
Np1 Np 0.000 0.000 0.000
Fe1 Fe 0.500 0.500 0.500
Tc1 Tc 0.250 0.250 0.250
Tc2 Tc 0.750 0.750 0.750
```

=====

(5)
ScMnTe2Os: optimized geometry, PBE.

uncorrected formation energy = 631 meV/atom
theoretical density = 6.7 g/cm³
energy = -29.86 eV/cell
space-group type = No. 123

The structure in CIF format:
```
data_ScMnTe2Os
_cell_length_a 5.308
_cell_length_b 5.308
_cell_length_c 4.829
_cell_angle_alpha 90.00
_cell_angle_beta 90.00
_cell_angle_gamma 90.00
_space_group_name_H-M_alt 'P 1'
_space_group_IT_number 1
loop_
_space_group_symop_operation_xyz
'x,y,z'
loop_
_atom_site_label
_atom_site_type_symbol
_atom_site_fract_x
_atom_site_fract_y
_atom_site_fract_z
Sc1 Sc 0.000 0.000 0.000
Mn1 Mn 0.500 0.500 0.000
Te1 Te 0.000 0.500 0.500
Te2 Te 0.500 0.000 0.500
Os1 Os 0.000 0.000 0.500
```

=====

(6)
Zr3In5: optimized geometry, PBE.

energy above the most stable polymorph in this dataset = 0 meV/atom
theoretical density = 7.8 g/cm³
energy = -82.10 eV/cell
space-group type = No. 63
calculated formation energy = -214 meV/atom

The structure in CIF format:
```
data_Zr3In5
_cell_length_a 6.127
_cell_length_b 6.127
_cell_length_c 9.811
_cell_angle_alpha 90.00
_cell_angle_beta 90.00
_cell_angle_gamma 78.13
_space_group_name_H-M_alt 'P 1'
_space_group_IT_number 1
loop_
_space_group_symop_operation_xyz
'x,y,z'
loop_
_atom_site_label
_atom_site_type_symbol
_atom_site_fract_x
_atom_site_fract_y
_atom_site_fract_z
Zr1 Zr 0.105 0.895 0.750
Zr2 Zr 0.285 0.285 0.000
Zr3 Zr 0.285 0.285 0.500
Zr4 Zr 0.715 0.715 0.000
Zr5 Zr 0.715 0.715 0.500
Zr6 Zr 0.895 0.105 0.250
In1 In 0.001 0.559 0.250
In2 In 0.199 0.801 0.039
In3 In 0.199 0.801 0.461
In4 In 0.441 0.999 0.250
In5 In 0.489 0.511 0.750
In6 In 0.511 0.489 0.250
In7 In 0.559 0.001 0.750
In8 In 0.801 0.199 0.539
In9 In 0.801 0.199 0.961
In10 In 0.999 0.441 0.750
```

=====

Which of these has the lowest theoretical density? La2Cu